! Li2InPb | Alexandria | meta-GGA SCAN | single point on PBEsol structure; values from VASP
&SYSTEM
  ibrav = 0, nat = 4, ntyp = 3
/
ATOMIC_SPECIES
Li 6.94 Li.upf
In 114.82 In.upf
Pb 207.20 Pb.upf
ATOMIC_POSITIONS angstrom
Li 0.000 0.000 0.000
Li 0.000 2.321 2.544
In 0.000 0.000 5.073
Pb 1.841 0.000 2.488
CELL_PARAMETERS angstrom
-1.841 2.321 4.942
1.841 -2.321 4.942
1.841 2.321 -4.942
! Uncorrected energy = -115.18 eV/cell
! ρ = 6.60 g cm⁻³